A plane-wave DFT calculation with PBE was carried out for crystalline BePd6Au3 at its relaxed geometry.

CIF file:
```
data_BePd6Au3
_cell_length_a 8.433
_cell_length_b 4.132
_cell_length_c 8.947
_cell_angle_alpha 90.00
_cell_angle_beta 95.05
_cell_angle_gamma 90.00
_symmetry_space_group_name_H-M 'P 1 21/m 1'
_symmetry_Int_Tables_number 11
loop_
_symmetry_equiv_pos_as_xyz
'x,y,z'
'-x,-y,-z'
'-x,y+1/2,-z'
'x,-y+1/2,z'
loop_
_atom_site_label
_atom_site_type_symbol
_atom_site_fract_x
_atom_site_fract_y
_atom_site_fract_z
_atom_site_occupancy
Be1 Be 0.057 0.250 0.390 1
Pd1 Pd 0.042 0.750 0.870 1
Pd2 Pd 0.112 0.250 0.661 1
Pd3 Pd 0.151 0.750 0.181 1
Pd4 Pd 0.203 0.750 0.483 1
Pd5 Pd 0.327 0.250 0.299 1
Pd6 Pd 0.450 0.750 0.097 1
Au1 Au 0.240 0.250 0.983 1
Au2 Au 0.347 0.750 0.782 1
Au3 Au 0.449 0.250 0.595 1
```

Values from the calculation:
- magnetization (μB/f.u.) = 0.0
- N(E_F) (states/eV/f.u.) = 8.9
- E_form (eV per atom) = -0.15